No. 1
# YTc

Crystalline YTc at its relaxed geometry (PBE, Alexandria via LeMat-Bulk).

Cell and atoms, written as POSCAR:
```
YTc
1.0
-0.223 -3.427 -13.011
-1.519 -2.841 0.774
-5.425 2.730 -0.626
Y Tc
6 6
direct
0.794 0.302 0.795
0.706 0.698 0.295
0.206 0.302 0.795
0.294 0.698 0.295
0.000 0.755 0.068
0.500 0.245 0.568
0.885 0.183 0.386
0.615 0.817 0.886
0.115 0.183 0.386
0.385 0.817 0.886
0.000 0.682 0.572
0.500 0.318 0.072
```

Results
Space group ... Pmn2_1 (31)
Energy of formation from the pure elements ... 0.174 eV/atom

=====

No. 2
# YTc

Crystalline YTc at its relaxed geometry (PBE, Alexandria via LeMat-Bulk).

Cell and atoms, written as POSCAR:
```
YTc
1.0
-0.409 3.146 -3.627
-3.891 2.825 -0.311
0.380 4.727 0.856
Tc Y
2 2
direct
0.000 0.000 0.000
0.250 0.250 0.250
0.750 0.750 0.750
0.500 0.500 0.500
```

Results
Space group ... Fd-3m (227)
Energy of formation from the pure elements ... 0.317 eV/atom

=====

No. 3
# Y3Tc5

Crystalline Y3Tc5 at its relaxed geometry (PBE, Alexandria via LeMat-Bulk).

Cell and atoms, written as POSCAR:
```
Y3Tc5
1.0
9.990 1.285 0.000
6.108 8.009 0.000
0.000 0.000 4.876
Y Tc
6 10
direct
0.583 0.318 0.750
0.318 0.583 0.250
0.367 0.022 0.750
0.022 0.367 0.250
0.660 0.999 0.250
0.999 0.660 0.750
0.794 0.290 0.250
0.290 0.794 0.750
0.240 0.940 0.250
0.940 0.240 0.750
0.607 0.607 0.000
0.607 0.607 0.500
0.318 0.318 0.000
0.318 0.318 0.500
0.956 0.981 0.750
0.981 0.956 0.250
```

Results
E above lowest polymorph ... 6.8 kJ/mol of atoms
Space group ... Ama2 (40)
Energy of formation from the pure elements ... 0.288 eV/atom

=====

No. 4
# YTc2

Crystalline YTc2 at its relaxed geometry (PBE, Alexandria via LeMat-Bulk).

Cell and atoms, written as POSCAR:
```
YTc2
1.0
-2.508 2.508 4.979
2.508 -2.508 4.979
2.508 2.508 -4.979
Y Tc
2 4
direct
0.250 0.250 0.000
0.750 0.750 0.000
0.799 0.701 0.500
0.701 0.201 0.902
0.299 0.799 0.098
0.201 0.299 0.500
```

Results
E above lowest polymorph ... 37.8 kJ/mol of atoms
Space group ... I4/mcm (140)
Energy of formation from the pure elements ... 0.217 eV/atom

=====

No. 5
# Y3Tc5

Crystalline Y3Tc5 at its relaxed geometry (PBE, Alexandria via LeMat-Bulk).

Cell and atoms, written as POSCAR:
```
Y3Tc5
1.0
5.046 -0.265 0.493
2.164 8.151 1.309
-1.826 1.134 8.335
Y Tc
6 10
direct
0.247 0.109 0.117
0.754 0.891 0.884
0.724 0.432 0.910
0.277 0.568 0.091
0.802 0.907 0.432
0.199 0.093 0.568
0.765 0.504 0.535
0.236 0.496 0.466
0.335 0.757 0.331
0.666 0.243 0.670
0.218 0.324 0.767
0.783 0.676 0.234
0.458 0.730 0.631
0.543 0.270 0.370
0.923 0.375 0.269
0.077 0.625 0.732
```

Results
E above lowest polymorph ... 0.0 kJ/mol of atoms
Space group ... P-1 (2)
Energy of formation from the pure elements ... 0.217 eV/atom

=====

No. 6
# YTc

Crystalline YTc at its relaxed geometry (PBE, Alexandria via LeMat-Bulk).

Cell and atoms, written as POSCAR:
```
YTc
1.0
-4.867 -4.392 -4.179
-3.958 -1.757 6.456
-4.592 6.169 -1.136
Y Tc
6 6
direct
0.250 0.000 0.500
0.750 0.000 0.500
0.000 0.500 0.250
0.000 0.500 0.750
0.500 0.250 0.000
0.500 0.750 0.000
0.250 0.500 0.000
0.750 0.500 0.000
0.500 0.000 0.250
0.500 0.000 0.750
0.000 0.250 0.500
0.000 0.750 0.500
```

Results
Space group ... Pm-3n (223)
Energy of formation from the pure elements ... 2.056 eV/atom

=====

No. 7
# Y5Tc

Crystalline Y5Tc at its relaxed geometry (PBE, Alexandria via LeMat-Bulk).

Cell and atoms, written as POSCAR:
```
Y5Tc
1.0
2.428 -6.619 0.000
2.428 6.619 0.000
0.000 0.000 5.183
Y Tc
5 1
direct
0.346 0.654 0.500
0.143 0.857 0.000
0.000 0.000 0.500
0.857 0.143 0.000
0.654 0.346 0.500
0.500 0.500 0.000
```

Results
E above lowest polymorph ... 15.6 kJ/mol of atoms
Space group ... Cmmm (65)
Energy of formation from the pure elements ... 0.167 eV/atom

=====

No. 8
# YTc2

Crystalline YTc2 at its relaxed geometry (PBE, Alexandria via LeMat-Bulk).

Cell and atoms, written as POSCAR:
```
YTc2
1.0
-1.103 -2.918 4.403
2.597 -2.262 -4.155
15.557 4.828 7.095
Tc Y
16 8
direct
0.667 0.333 0.131
0.333 0.667 0.869
0.333 0.667 0.631
0.667 0.333 0.369
0.000 0.500 0.000
0.500 0.500 0.000
0.500 0.000 0.000
0.000 0.500 0.500
0.500 0.500 0.500
0.500 0.000 0.500
0.321 0.160 0.250
0.840 0.160 0.250
0.840 0.679 0.250
0.679 0.840 0.750
0.160 0.840 0.750
0.160 0.321 0.750
0.000 0.000 0.093
0.000 0.000 0.907
0.000 0.000 0.593
0.000 0.000 0.407
0.667 0.333 0.844
0.333 0.667 0.156
0.333 0.667 0.344
0.667 0.333 0.656
```

Results
E above lowest polymorph ... 1.3 kJ/mol of atoms
Space group ... P6_3/mmc (194)
Energy of formation from the pure elements ... -0.162 eV/atom

=====

No. 9
# YTc

Crystalline YTc at its relaxed geometry (PBE, Alexandria via LeMat-Bulk).

Cell and atoms, written as POSCAR:
```
YTc
1.0
5.502 0.000 0.000
0.000 5.502 0.000
0.000 0.000 5.502
Y Tc
4 4
direct
0.087 0.087 0.087
0.413 0.913 0.587
0.913 0.587 0.413
0.587 0.413 0.913
0.401 0.401 0.401
0.099 0.599 0.901
0.599 0.901 0.099
0.901 0.099 0.599
```

Results
Space group ... P2_13 (198)
Energy of formation from the pure elements ... 0.445 eV/atom

=====

No. 10
# YTc2

Crystalline YTc2 at its relaxed geometry (PBE, Alexandria via LeMat-Bulk).

Cell and atoms, written as POSCAR:
```
YTc2
1.0
3.096 0.000 0.000
-1.548 2.681 0.000
0.000 0.000 6.758
Tc Y
2 1
direct
0.000 0.000 0.969
0.333 0.667 0.698
0.667 0.333 0.333
```

Results
E above lowest polymorph ... 59.4 kJ/mol of atoms
Space group ... P-3m1 (164)
Energy of formation from the pure elements ... 0.440 eV/atom

=====

No. 11
# YTc3

Crystalline YTc3 at its relaxed geometry (PBE, Alexandria via LeMat-Bulk).

Cell and atoms, written as POSCAR:
```
YTc3
1.0
4.564 0.000 0.000
-2.282 3.952 0.005
0.000 2.630 3.730
Tc Y
3 1
direct
0.000 0.000 0.000
0.500 0.000 0.500
0.750 0.500 0.750
0.250 0.500 0.250
```

Results
E above lowest polymorph ... 1.4 kJ/mol of atoms
Space group ... Fm-3m (225)
Energy of formation from the pure elements ... 0.198 eV/atom

=====

No. 12
# Y3Tc4

Crystalline Y3Tc4 at its relaxed geometry (PBE, Alexandria via LeMat-Bulk).

Cell and atoms, written as POSCAR:
```
Y3Tc4
1.0
3.014 -5.221 0.000
3.014 5.221 0.000
0.000 0.000 4.707
Y Tc
3 4
direct
0.000 0.500 0.000
0.500 0.500 0.000
0.500 0.000 0.000
0.000 0.000 0.238
0.000 0.000 0.762
0.667 0.333 0.500
0.333 0.667 0.500
```

Results
E above lowest polymorph ... 77.3 kJ/mol of atoms
Space group ... P6/mmm (191)
Energy of formation from the pure elements ... 0.834 eV/atom

=====

Repeat the seventh record exactly.
# Y5Tc

Crystalline Y5Tc at its relaxed geometry (PBE, Alexandria via LeMat-Bulk).

Cell and atoms, written as POSCAR:
```
Y5Tc
1.0
2.428 -6.619 0.000
2.428 6.619 0.000
0.000 0.000 5.183
Y Tc
5 1
direct
0.346 0.654 0.500
0.143 0.857 0.000
0.000 0.000 0.500
0.857 0.143 0.000
0.654 0.346 0.500
0.500 0.500 0.000
```

Results
E above lowest polymorph ... 15.6 kJ/mol of atoms
Space group ... Cmmm (65)
Energy of formation from the pure elements ... 0.167 eV/atom

=====

Copy entry 1 word for word.
# YTc

Crystalline YTc at its relaxed geometry (PBE, Alexandria via LeMat-Bulk).

Cell and atoms, written as POSCAR:
```
YTc
1.0
-0.223 -3.427 -13.011
-1.519 -2.841 0.774
-5.425 2.730 -0.626
Y Tc
6 6
direct
0.794 0.302 0.795
0.706 0.698 0.295
0.206 0.302 0.795
0.294 0.698 0.295
0.000 0.755 0.068
0.500 0.245 0.568
0.885 0.183 0.386
0.615 0.817 0.886
0.115 0.183 0.386
0.385 0.817 0.886
0.000 0.682 0.572
0.500 0.318 0.072
```

Results
Space group ... Pmn2_1 (31)
Energy of formation from the pure elements ... 0.174 eV/atom